## Li2MnSeN (GGA-PBE)

Data for a relaxed Li2MnSeN crystal.

Summary:
M_tot (μB per atom): 0.75
D(E_F) (states/eV/atom): 0.419
Electronic total energy (eV for the cell shown): -27.71
Energy relative to the elements, uncorrected (eV per atom): -0.580

Structure (POSCAR):
```
Li2MnSeN
1.0
4.1025 0.0000 0.0000
0.0000 4.1025 0.0000
0.0000 0.0000 3.8160
Li Se Mn N
2 1 1 1
Direct
0.5000 0.0000 0.0000
0.0000 0.5000 0.0000
0.5000 0.5000 0.5000
0.0000 0.0000 0.5000
0.0000 0.0000 0.0000
```

---

## LiMnSeN2 (GGA-PBE)

Data for a relaxed LiMnSeN2 crystal.

Summary:
M_tot (μB per atom): 0.32
D(E_F) (states/eV/atom): 0.444
Electronic total energy (eV for the cell shown): -24.16
Energy relative to the elements, uncorrected (eV per atom): 1.412

Structure (POSCAR):
```
LiMnSeN2
1.0
3.7405 0.0000 0.0000
0.0000 3.7405 0.0000
0.0000 0.0000 4.9298
N Mn Se Li
2 1 1 1
Direct
0.5000 0.0000 0.0000
0.0000 0.5000 0.0000
0.5000 0.5000 0.5000
0.0000 0.0000 0.5000
0.0000 0.0000 0.0000
```

---

## SrLiMnN3 (GGA-PBE)

Data for a relaxed SrLiMnN3 crystal.

Summary:
M_tot (μB per atom): 0.17
Electronic total energy (eV for the cell shown): -81.26
Energy relative to the elements, uncorrected (eV per atom): -0.481

Structure (POSCAR):
```
SrLiMnN3
1.0
5.2461 -0.3245 0.0000
0.8282 5.4076 0.0000
0.4141 2.7038 4.9973
Li N Mn Sr
2 6 2 2
Direct
0.2500 0.5638 0.8724
0.7500 0.4362 0.1276
0.2500 0.7703 0.4593
0.4920 0.7964 0.9667
0.0080 0.2369 0.9667
0.7500 0.2297 0.5407
0.5080 0.2036 0.0333
0.9920 0.7631 0.0333
0.2500 0.9388 0.1225
0.7500 0.0612 0.8775
0.7500 0.7410 0.5180
0.2500 0.2590 0.4820
```

---

Question: electronic total energy of number 1 (Li2MnSeN)?
Answer: -27.71 eV for the cell shown

---

Question: The lowest M_tot belongs to which entry?
Answer: SrLiMnN3

---

What did the second record say?
## LiMnSeN2 (GGA-PBE)

Data for a relaxed LiMnSeN2 crystal.

Summary:
M_tot (μB per atom): 0.32
D(E_F) (states/eV/atom): 0.444
Electronic total energy (eV for the cell shown): -24.16
Energy relative to the elements, uncorrected (eV per atom): 1.412

Structure (POSCAR):
```
LiMnSeN2
1.0
3.7405 0.0000 0.0000
0.0000 3.7405 0.0000
0.0000 0.0000 4.9298
N Mn Se Li
2 1 1 1
Direct
0.5000 0.0000 0.0000
0.0000 0.5000 0.0000
0.5000 0.5000 0.5000
0.0000 0.0000 0.5000
0.0000 0.0000 0.0000
```